Nd3CoHgCl PBE relaxed; calculated density = 7.4 g/cm3; SG = P2_1/m, No. 11; DOS(E_F) = 0.744 states/eV/atom; VASP energy = -53.65 eV/cell
1.0
-2.5240 0.5716 3.8915
-2.0363 -7.2513 -0.2558
7.9254 -0.4399 5.2050
Nd Co Hg Cl
6 2 2 2
Cartesian
1.3255 -5.1281 3.0161 Nd
-2.8070 -6.1125 3.2865 Nd
-1.7250 -2.7893 3.5002 Nd
2.0395 -1.9914 5.8247 Nd
5.0900 -4.3302 5.3405 Nd
6.1720 -1.0070 5.5542 Nd
-0.8724 -4.8110 1.5439 Co
4.2375 -2.3086 7.2969 Co
2.3168 -5.3486 6.4976 Hg
1.0483 -1.7710 2.3431 Hg
3.8657 -0.7744 4.0242 Cl
-0.5007 -6.3452 4.8166 Cl

=====

Tl2Pd3Se2 PBE relaxed; calculated density = 9.8 g/cm3; SG = P-1, No. 2; DOS(E_F) = 0.501 states/eV/atom; VASP energy = -28.56 eV/cell; energy above the most stable polymorph in this dataset = 158 meV per atom
1.0
-0.3539 -2.2238 -2.8178
6.1691 -1.8202 2.9649
-2.5415 -4.2002 3.6515
Tl Pd Se
2 3 2
Cartesian
3.0803 -5.9084 1.9948 Tl
0.1935 -2.3359 1.8038 Tl
0.0000 0.0000 0.0000 Pd
2.1409 -3.8409 0.4451 Pd
1.1329 -4.4034 3.3535 Pd
-0.9982 -5.9477 2.5255 Se
4.2720 -2.2966 1.2731 Se

=====

AcDyHoTm PBE relaxed; calculated density = 8.7 g/cm3; SG = F-43m, No. 216; formation enthalpy at 0 K = 0.13 eV per atom; DOS(E_F) = 1.538 states/eV/atom; VASP energy = -17.26 eV/cell; energy above the most stable polymorph in this dataset = 54 meV per atom
1.0
5.7934 0.0000 0.0000
2.8967 5.0172 0.0000
2.8967 1.6724 4.7303
Ac Tm Ho Dy
1 1 1 1
Cartesian
0.0000 0.0000 0.0000 Ac
2.8967 1.6724 1.1826 Tm
8.6901 5.0172 3.5477 Ho
5.7934 3.3448 2.3651 Dy